Below is a relaxed Li3Dy2SbS6 crystal, with properties calculated at the PBE level.

a = 6.790 Å, b = 6.790 Å, c = 6.578 Å
α = 99.86°, β = 99.86°, γ = 120.04°
Atoms (fractional coordinates):
Li  0.159  0.841  0.500
Li  0.841  0.159  0.500
Li  0.500  0.500  0.500
Dy  0.333  0.667  0.000
Dy  0.667  0.333  0.000
Sb  0.000  0.000  0.000
S  0.916  0.582  0.748
S  0.749  0.749  0.251
S  0.084  0.418  0.252
S  0.582  0.916  0.748
S  0.251  0.251  0.749
S  0.418  0.084  0.252

Summary:
uncorrected formation energy: -1.45 eV per atom

=====

Below is a relaxed LiMn3Os crystal, with properties calculated at the PBE level.

a = 4.797 Å, b = 4.797 Å, c = 4.797 Å
α = 90.00°, β = 90.00°, γ = 90.00°
Atoms (fractional coordinates):
Mn  0.000  0.500  0.000
Mn  0.000  0.000  0.500
Mn  0.500  0.000  0.000
Os  0.000  0.000  0.000
Li  0.500  0.500  0.500

Summary:
E above lowest polymorph: 0.0 kJ/mol of atoms
energy of formation: 1028 meV/atom

=====

Below is a relaxed K2MnNi2 crystal, with properties calculated at the PBE level.

a = 9.086 Å, b = 9.086 Å, c = 2.584 Å
α = 90.00°, β = 90.00°, γ = 90.00°
Atoms (fractional coordinates):
Ni  0.178  0.678  0.500
Ni  0.678  0.822  0.500
Ni  0.822  0.322  0.500
Ni  0.322  0.178  0.500
K  0.373  0.873  0.000
K  0.873  0.627  0.000
K  0.627  0.127  0.000
K  0.127  0.373  0.000
Mn  0.000  0.000  0.000
Mn  0.500  0.500  0.000

Summary:
E above lowest polymorph: 73.7 kJ/mol of atoms
energy of formation: 1598 meV/atom

=====

Below is a relaxed Li4Cu5Rh crystal, with properties calculated at the PBE level.

a = 4.808 Å, b = 5.836 Å, c = 5.836 Å
α = 80.23°, β = 65.67°, γ = 65.67°
Atoms (fractional coordinates):
Li  0.306  0.382  0.912
Li  0.688  0.912  0.618
Li  0.219  0.088  0.382
Li  0.600  0.618  0.088
Cu  0.928  0.376  0.700
Cu  0.304  0.700  0.624
Cu  0.628  0.300  0.376
Cu  0.004  0.624  0.300
Cu  0.677  0.000  0.000
Rh  0.156  0.000  0.000

Summary:
energy of formation: 159 meV/atom

=====

Below is a relaxed LiTa2As crystal, with properties calculated at the PBE level.

a = 5.392 Å, b = 5.195 Å, c = 2.826 Å
α = 84.35°, β = 77.60°, γ = 117.13°
Atoms (fractional coordinates):
As  0.500  0.500  0.000
Li  0.500  0.000  0.500
Ta  0.000  0.000  0.000
Ta  0.000  0.500  0.500

Summary:
energy of formation: 141 meV/atom

=====

Below is a relaxed Pm3Mg4Sc crystal, with properties calculated at the PBE level.

a = 3.777 Å, b = 3.777 Å, c = 15.374 Å
α = 90.00°, β = 90.00°, γ = 90.00°
Atoms (fractional coordinates):
Sc  0.500  0.500  0.000
Mg  0.000  0.000  0.891
Mg  0.000  0.000  0.109
Mg  0.000  0.000  0.371
Mg  0.000  0.000  0.629
Pm  0.500  0.500  0.240
Pm  0.500  0.500  0.500
Pm  0.500  0.500  0.760

Summary:
energy of formation: -79 meV/atom